Material: InMoPbF6
Method: DFT, GGA+U
State: relaxed

Geometry as extended XYZ:
```
18
Lattice="-3.5476 -4.2697 -3.0820 6.2769 0.1832 -0.9388 1.3428 -6.6581 7.6782" Properties=species:S:1:pos:R:3 pbc="T T T"
F -1.5569 -5.1746 0.7013
F 5.6289 -5.5699 2.9562
F 3.1557 -4.3854 4.4158
F 5.0989 -5.7913 5.8459
F 1.2691 -3.9970 1.2282
F 4.9896 -8.1463 3.8229
F 1.6933 -3.6171 -1.5055
F 2.8029 -6.7475 2.4292
F 2.3788 -7.1274 5.1630
F -0.9176 -2.5982 -0.1654
F -1.0268 -4.9532 -2.1884
F 0.9163 -6.3591 -0.7584
Mo 4.0091 -6.2946 4.1055
Mo 0.0629 -4.4499 -0.4480
Pb 0.7343 -7.7789 3.3911
Pb 3.3377 -2.9656 0.2664
In 0.0000 0.0000 0.0000
In 0.6714 -3.3291 3.8391
```

Results
Its total energy is -5.051 eV per atom. The density of states at the Fermi level comes out at 0.0 states/eV/cell. Its space group is P-31c (163).